First-principles (PBE) data for crystalline Cd2GaF at its relaxed geometry, as listed in the Alexandria database.

Calculated values
Size of the total moment (μB per formula unit): 0.0
N(E_F) (states/eV/f.u.): 0.65
Energy above the lowest structure with this stoichiometry (eV/atom): 0.000
E (hartree per atom): -0.085
Theoretical density (g/cm³): 6.47

```
8
Lattice="-1.925 -3.256 -6.391 5.884 -4.501 0.521 0.368 -5.815 -1.463" Properties=species:S:1:pos:R:3 pbc="T T T"
F 1.979 -3.879 -2.935
F 4.116 -7.097 -1.939
Ga 0.000 0.000 0.000
Ga 0.211 -6.475 -5.394
Cd -0.296 -3.916 -4.028
Cd 3.449 -4.810 -1.106
Cd 2.006 -7.458 -3.277
Cd 3.495 -10.961 -6.255
```